[1]
The following is a PBE calculation of a relaxed Tm8InOs2 crystal, from the Alexandria database.

Summary:
E_form (meV/atom): -258
Calculated total energy (eV/atom): -5.80

a = 4.944 Å, b = 6.999 Å, c = 9.047 Å
α = 110.40°, β = 105.85°, γ = 90.00°
Positions (direct):
Tm 0.368 0.820 0.372
Tm 0.557 0.673 0.750
Tm 0.975 0.108 0.586
Tm 0.169 0.570 0.975
Tm 0.291 0.320 0.218
Tm 0.613 0.230 0.864
Tm 0.924 0.508 0.483
Tm 0.763 0.968 0.162
Os 0.447 0.270 0.531
Os 0.770 0.578 0.176
In 0.124 0.955 0.884

***

[2]
The following is a PBE calculation of a relaxed InSiAs crystal, from the Alexandria database.

Summary:
Energy above the most stable polymorph in this dataset (meV per atom): 101
Formation energy from raw total energies (meV/atom): 36
Calculated total energy (eV/atom): -4.23

a = 3.667 Å, b = 3.666 Å, c = 12.993 Å
α = 90.05°, β = 89.81°, γ = 60.00°
Positions (direct):
In 0.040 0.733 0.432
In 0.377 0.065 0.239
As 0.275 0.102 0.651
As 0.273 0.104 0.004
Si 0.608 0.436 0.737
Si 0.607 0.436 0.918

***

[3]
The following is a PBE calculation of a relaxed TbDyBiN crystal, from the Alexandria database.

Summary:
Formation energy from raw total energies (meV/atom): -1269
Calculated total energy (eV/atom): -6.63

a = 4.570 Å, b = 4.570 Å, c = 9.116 Å
α = 90.00°, β = 90.00°, γ = 90.00°
Positions (direct):
N 0.000 0.500 0.425
N 0.500 0.000 0.575
Dy 0.500 0.500 0.500
Dy 0.000 0.000 0.500
Bi 0.500 0.000 0.188
Bi 0.000 0.500 0.812
Tb 0.500 0.000 0.818
Tb 0.000 0.500 0.182

***

[4]
The following is a PBE calculation of a relaxed SrBePt3 crystal, from the Alexandria database.

Summary:
Energy above the most stable polymorph in this dataset (meV per atom): 68
E_form (meV/atom): -676
Calculated total energy (eV/atom): -5.38

a = 5.750 Å, b = 6.860 Å, c = 6.385 Å
α = 77.83°, β = 63.04°, γ = 114.69°
Positions (direct):
Sr 0.811 0.496 0.211
Sr 0.554 0.536 0.768
Pt 0.525 0.988 0.756
Pt 0.387 0.666 0.228
Pt 0.045 0.988 0.755
Pt 0.320 0.045 0.223
Pt 0.978 0.366 0.751
Pt 0.840 0.044 0.223
Be 0.080 0.232 0.410
Be 0.285 0.800 0.569

***

[5]
The following is a PBE calculation of a relaxed Sr2HgRu crystal, from the Alexandria database.

Summary:
E_form (meV/atom): 196
Calculated total energy (eV/atom): -3.04

a = 3.753 Å, b = 3.753 Å, c = 8.665 Å
α = 90.00°, β = 90.00°, γ = 90.03°
Positions (direct):
Sr 0.500 0.500 0.334
Sr 0.000 0.000 0.918
Hg 0.000 0.000 0.564
Ru 0.500 0.500 0.684